[1]
The following is a DFT calculation (GGA-PBE) of a geometry-optimized Pm7SmTh3 structure.

## Properties
Fermi-level density of states   1.420 states/eV/atom
Total moment   0.00 μB per cell
Space group   C2/m, No. 12
Energy of formation from the pure elements   261 meV/atom

Cell: 6.3808 7.8141 7.8105 Å, 81.89 95.05 95.08°
Closest atoms and distances in Å follow each position.
Positions (direct):
Pm: 0.7885 0.7696 0.7696  5 Pm 3.34-3.60, 3 Th 3.39-3.46, 1 Sm 3.49
Pm: 0.0000 0.5000 0.5000  2 Sm 3.19, 2 Th 3.36
Pm: 0.7378 0.0707 0.4231  6 Pm 3.34-3.72, 3 Th 3.53-3.61
Pm: 0.2622 0.5769 0.9293  6 Pm 3.34-3.72, 3 Th 3.53-3.61
Pm: 0.2115 0.2304 0.2304  5 Pm 3.34-3.60, 3 Th 3.39-3.46, 1 Sm 3.49
Pm: 0.7378 0.4231 0.0707  6 Pm 3.34-3.72, 3 Th 3.53-3.61
Pm: 0.2622 0.9293 0.5769  6 Pm 3.34-3.72, 3 Th 3.53-3.61
Th: 0.5000 0.0000 0.0000  6 Pm 3.46-3.61, 4 Th 3.64-3.65
Th: 0.0000 0.8278 0.1722  7 Pm 3.36-3.60, 3 Th 3.53-3.65
Th: 0.0000 0.1722 0.8278  7 Pm 3.36-3.60, 3 Th 3.53-3.65
Sm: 0.5000 0.5000 0.5000  4 Pm 3.19-3.49

=====

[2]
The following is a DFT calculation (GGA-PBE) of a geometry-optimized ZnCoAg structure.

## Properties
Fermi-level density of states   0.791 states/eV/atom
Total moment   1.39 μB per cell
Space group   P3m1, No. 156
Relative energy among the computed polymorphs   0.148 eV per formula unit
Energy of formation from the pure elements   195 meV/atom

Cell: 2.7478 2.7478 6.5918 Å, 90.00 90.00 120.00°
Closest atoms and distances in Å follow each position.
Positions (direct):
Co: 0.3333 0.6667 0.3473  3 Zn 2.54, 6 Co 2.75, 3 Ag 2.76
Ag: 0.0000 0.0000 0.0050  6 Ag 2.75, 3 Co 2.76, 3 Zn 2.84
Zn: 0.6667 0.3333 0.6478  3 Co 2.54, 6 Zn 2.75, 3 Ag 2.84

=====

[3]
The following is a DFT calculation (GGA-PBE) of a geometry-optimized Mn2Al2Ru structure.

## Properties
Fermi-level density of states   1.151 states/eV/atom
Total moment   0.00 μB per cell
Space group   I4/mmm, No. 139
Relative energy among the computed polymorphs   0.000 eV per formula unit
Energy of formation from the pure elements   64 meV/atom

Cell: 3.1112 3.1112 7.4471 Å, 77.94 77.94 90.00°
Closest atoms and distances in Å follow each position.
Positions (direct):
Al: 0.5978 0.5978 0.8043  4 Ru 2.60, 4 Mn 2.67, 1 Al 2.78
Al: 0.4022 0.4022 0.1957  4 Ru 2.60, 4 Mn 2.67, 1 Al 2.78
Mn: 0.2500 0.7500 0.5000  4 Mn 2.20
Mn: 0.7500 0.2500 0.5000  4 Mn 2.20
Ru: 0.0000 0.0000 0.0000  8 Al 2.60

=====

- Look up the Fermi-level density of states of the third one.
  1.151 states/eV/atom

=====

- Which formula does entry 1 have?
  Pm7SmTh3

=====

- Which formula does entry 3 have?
  Mn2Al2Ru

=====

- Which of these has the lowest Fermi-level density of states?
  ZnCoAg